# 1
The following is a DFT calculation (PBE) of a geometry-optimized Rb2YTlF6 structure.

Total DFT energy (no corrections) in eV per atom: -5.321
ΔE to the lowest computed polymorph in meV/atom: 0
Fermi-level density of states in states/eV per cell: 0.0
Raw formation energy in eV per formula unit: -31.22

a = 6.6529 Å, b = 6.8838 Å, c = 9.4916 Å
α = 90.00°, β = 89.56°, γ = 90.00°
Atoms (fractional coordinates):
1 F 0.8962 0.5530 0.2175
2 Rb 0.9859 0.0462 0.7461
3 F 0.2681 0.6761 0.0441
4 Tl 0.0000 0.5000 0.5000
5 F 0.1687 0.2401 0.0668
6 Rb 0.5141 0.5462 0.7539
7 Tl 0.5000 0.0000 0.0000
8 F 0.7319 0.3239 0.9559
9 Y 0.0000 0.5000 0.0000
10 F 0.8313 0.7599 0.9332
11 Rb 0.4859 0.4538 0.2461
12 Rb 0.0141 0.9538 0.2539
13 F 0.6038 0.0530 0.2825
14 F 0.6687 0.2599 0.5668
15 F 0.7681 0.8239 0.5441
16 F 0.3962 0.9470 0.7175
17 F 0.3313 0.7401 0.4332
18 F 0.2319 0.1761 0.4559
19 Y 0.5000 0.0000 0.5000
20 F 0.1038 0.4470 0.7825


# 2
The following is a DFT calculation (PBE) of a geometry-optimized ZnSbW2 structure.

Total DFT energy (no corrections) in eV per atom: -7.509
ΔE to the lowest computed polymorph in meV/atom: 0
Fermi-level density of states in states/eV per cell: 1.8
Raw formation energy in eV per formula unit: 1.27

a = 3.3605 Å, b = 3.3605 Å, c = 6.0730 Å
α = 90.00°, β = 90.00°, γ = 90.00°
Atoms (fractional coordinates):
1 W 0.5000 0.5000 0.2552
2 W 0.0000 0.0000 0.0213
3 Sb 0.5000 0.5000 0.7496
4 Zn 0.0000 0.0000 0.4739


# 3
The following is a DFT calculation (PBE) of a geometry-optimized Mn2BeAs structure.

Total DFT energy (no corrections) in eV per atom: -6.618
ΔE to the lowest computed polymorph in meV/atom: 103
Energy relative to the elements in meV/atom: 60
Fermi-level density of states in states/eV per cell: 2.6

a = 3.4044 Å, b = 2.7097 Å, c = 5.9707 Å
α = 60.15°, β = 90.00°, γ = 90.00°
Atoms (fractional coordinates):
1 Mn 0.0000 0.9852 0.9875
2 As 0.5000 0.2500 0.2500
3 Be 0.5000 0.7500 0.7500
4 Mn 0.0000 0.5148 0.5125


# 4
The following is a DFT calculation (PBE) of a geometry-optimized KIn2Sn2Au6 structure.

Total DFT energy (no corrections) in eV per atom: -3.324
Energy relative to the elements in meV/atom: -211
Fermi-level density of states in states/eV per cell: 3.9

a = 7.5283 Å, b = 6.0063 Å, c = 7.8415 Å
α = 122.91°, β = 102.19°, γ = 61.05°
Atoms (fractional coordinates):
1 Au 0.2852 0.6239 0.0178
2 Au 0.7943 0.3495 0.5279
3 In 0.9604 0.7485 0.7691
4 Au 0.2057 0.6505 0.4721
5 Au 0.9121 0.7763 0.1874
6 Au 0.7148 0.3761 0.9822
7 Au 0.0879 0.2237 0.8126
8 Sn 0.5393 0.2449 0.1806
9 Sn 0.4607 0.7551 0.8194
10 In 0.0396 0.2515 0.2309
11 K 0.5000 0.0000 0.5000


Q: Among the records above, which one has the lowest total DFT energy (no corrections)?
A: ZnSbW2


Please write out number 1 again, unchanged.
The following is a DFT calculation (PBE) of a geometry-optimized Rb2YTlF6 structure.

Total DFT energy (no corrections) in eV per atom: -5.321
ΔE to the lowest computed polymorph in meV/atom: 0
Fermi-level density of states in states/eV per cell: 0.0
Raw formation energy in eV per formula unit: -31.22

a = 6.6529 Å, b = 6.8838 Å, c = 9.4916 Å
α = 90.00°, β = 89.56°, γ = 90.00°
Atoms (fractional coordinates):
1 F 0.8962 0.5530 0.2175
2 Rb 0.9859 0.0462 0.7461
3 F 0.2681 0.6761 0.0441
4 Tl 0.0000 0.5000 0.5000
5 F 0.1687 0.2401 0.0668
6 Rb 0.5141 0.5462 0.7539
7 Tl 0.5000 0.0000 0.0000
8 F 0.7319 0.3239 0.9559
9 Y 0.0000 0.5000 0.0000
10 F 0.8313 0.7599 0.9332
11 Rb 0.4859 0.4538 0.2461
12 Rb 0.0141 0.9538 0.2539
13 F 0.6038 0.0530 0.2825
14 F 0.6687 0.2599 0.5668
15 F 0.7681 0.8239 0.5441
16 F 0.3962 0.9470 0.7175
17 F 0.3313 0.7401 0.4332
18 F 0.2319 0.1761 0.4559
19 Y 0.5000 0.0000 0.5000
20 F 0.1038 0.4470 0.7825